(1)
SiBP3, relaxed, DFT PBE; SG = Pm-3m; total DFT energy (no corrections) = -4.114 eV/atom; excess energy over the best structure of this formula in the dataset = 658 meV/atom; total magnetization = 0.00 μB per atom
1.0
4.478 0.000 0.000
0.000 4.478 0.000
0.000 0.000 4.478
Si B P
1 1 3
Direct
0.000 0.000 0.000
0.500 0.500 0.500
0.000 0.000 0.500
0.000 0.500 0.000
0.500 0.000 0.000



(2)
SiBP, relaxed, DFT PBE; SG = I-4m2; total DFT energy (no corrections) = -5.898 eV/atom; excess energy over the best structure of this formula in the dataset = 107 meV/atom; total magnetization = 0.00 μB per atom
1.0
-1.707 1.707 7.330
1.707 -1.707 7.330
1.707 1.707 -7.330
Si B P
2 2 2
Direct
0.000 0.000 0.000
0.750 0.250 0.500
0.078 0.578 0.500
0.422 0.922 0.500
0.349 0.349 0.000
0.651 0.651 0.000



(3)
SiB2P, relaxed, DFT PBE; SG = Cmm2; total DFT energy (no corrections) = -5.687 eV/atom; excess energy over the best structure of this formula in the dataset = 387 meV/atom; total magnetization = 0.00 μB per atom
1.0
1.268 -4.332 0.000
1.268 4.332 0.000
0.000 0.000 4.964
Si B P
1 2 1
Direct
0.000 0.000 0.000
0.179 0.821 0.272
0.821 0.179 0.272
0.000 0.000 0.518



(4)
SiB2P, relaxed, DFT PBE; SG = P3m1; total DFT energy (no corrections) = -6.038 eV/atom; excess energy over the best structure of this formula in the dataset = 35 meV/atom; total magnetization = 0.00 μB per atom
1.0
3.206 0.000 0.000
-1.603 2.777 0.000
0.000 0.000 5.557
Si B P
1 2 1
Direct
0.000 0.000 0.000
0.667 0.333 0.155
0.667 0.333 0.464
0.000 0.000 0.587



(5)
SiBP, relaxed, DFT PBE; SG = P1; total DFT energy (no corrections) = -5.795 eV/atom; excess energy over the best structure of this formula in the dataset = 210 meV/atom; total magnetization = 0.00 μB per atom
1.0
4.099 0.000 0.000
0.506 4.542 0.000
1.058 1.209 4.827
Si B P
2 2 2
Direct
0.000 0.000 0.000
0.444 0.435 0.462
0.706 0.632 0.656
0.990 0.312 0.643
0.522 0.728 0.013
0.834 0.040 0.443



(6)
SiBP, relaxed, DFT PBE; SG = Cm; total DFT energy (no corrections) = -5.983 eV/atom; excess energy over the best structure of this formula in the dataset = 21 meV/atom; total magnetization = 0.00 μB per atom
1.0
5.675 -1.707 0.000
5.675 1.707 0.000
-2.075 0.000 4.406
Si B P
2 2 2
Direct
0.000 0.000 0.000
0.657 0.657 0.583
0.168 0.168 0.375
0.306 0.306 0.297
0.473 0.473 0.673
0.814 0.814 0.076



(7)
SiBP, relaxed, DFT PBE; SG = R3m; total DFT energy (no corrections) = -5.929 eV/atom; excess energy over the best structure of this formula in the dataset = 76 meV/atom; total magnetization = 0.00 μB per atom
1.0
1.696 0.979 8.528
-1.696 0.979 8.528
0.000 -1.959 8.528
Si B P
2 2 2
Direct
0.000 0.000 0.000
0.139 0.139 0.139
0.218 0.218 0.218
0.353 0.353 0.353
0.430 0.430 0.430
0.909 0.909 0.909



(8)
SiBP, relaxed, DFT PBE; SG = C2; total DFT energy (no corrections) = -5.465 eV/atom; excess energy over the best structure of this formula in the dataset = 540 meV/atom; total magnetization = 0.00 μB per atom
1.0
2.373 -4.401 0.000
2.373 4.401 0.000
-2.287 0.000 2.414
Si B P
1 1 1
Direct
0.000 0.000 0.000
0.878 0.122 0.500
0.668 0.332 0.500



(9)
SiBP, relaxed, DFT PBE; SG = P1; total DFT energy (no corrections) = -5.764 eV/atom; excess energy over the best structure of this formula in the dataset = 241 meV/atom; total magnetization = 0.00 μB per atom
1.0
3.319 0.000 0.000
0.145 5.379 0.000
0.118 2.619 4.711
Si B P
2 2 2
Direct
0.000 0.000 0.000
0.338 0.339 0.464
0.509 0.965 0.808
0.651 0.644 0.816
0.155 0.415 0.016
0.819 0.633 0.456



(10)
SiBP, relaxed, DFT PBE; SG = P1; total DFT energy (no corrections) = -5.800 eV/atom; excess energy over the best structure of this formula in the dataset = 205 meV/atom; total magnetization = 0.00 μB per atom
1.0
4.161 0.000 0.000
0.466 4.569 0.000
1.277 1.354 4.775
Si B P
2 2 2
Direct
0.000 0.000 0.000
0.317 0.394 0.354
0.561 0.582 0.562
0.940 0.715 0.385
0.188 0.894 0.581
0.499 0.287 0.931



(11)
SiBP, relaxed, DFT PBE; SG = Imm2; total DFT energy (no corrections) = -5.645 eV/atom; excess energy over the best structure of this formula in the dataset = 360 meV/atom; total magnetization = 0.00 μB per atom
1.0
-1.557 1.638 4.478
1.557 -1.638 4.478
1.557 1.638 -4.478
Si B P
1 1 1
Direct
0.000 0.000 0.000
0.370 0.870 0.500
0.250 0.250 0.000



(12)
SiB2P, relaxed, DFT PBE; SG = R3m; total DFT energy (no corrections) = -6.043 eV/atom; excess energy over the best structure of this formula in the dataset = 30 meV/atom; total magnetization = 0.00 μB per atom
1.0
1.617 0.933 5.474
-1.617 0.933 5.474
0.000 -1.867 5.474
Si B P
1 2 1
Direct
0.000 0.000 0.000
0.382 0.382 0.382
0.487 0.487 0.487
0.861 0.861 0.861



(13)
SiB2P, relaxed, DFT PBE; SG = Cm; total DFT energy (no corrections) = -5.707 eV/atom; excess energy over the best structure of this formula in the dataset = 366 meV/atom; total magnetization = 0.00 μB per atom
1.0
2.740 -1.931 0.000
2.740 1.931 0.000
-1.828 0.000 4.182
Si B P
1 2 1
Direct
0.000 0.000 0.000
0.668 0.668 0.082
0.702 0.702 0.481
0.397 0.397 0.616



(14)
SiBP, relaxed, DFT PBE; SG = C2/m; total DFT energy (no corrections) = -5.786 eV/atom; excess energy over the best structure of this formula in the dataset = 219 meV/atom; total magnetization = 0.00 μB per atom
1.0
4.890 -1.552 0.000
4.890 1.552 0.000
-4.056 0.000 5.813
Si B P
2 2 2
Direct
0.191 0.191 0.177
0.809 0.809 0.823
0.444 0.444 0.352
0.556 0.556 0.648
0.025 0.025 0.783
0.975 0.975 0.217



(15)
SiBP, relaxed, DFT PBE; SG = Cm; total DFT energy (no corrections) = -5.779 eV/atom; excess energy over the best structure of this formula in the dataset = 226 meV/atom; total magnetization = 0.00 μB per atom
1.0
4.692 -1.712 0.000
4.692 1.712 0.000
-1.951 0.000 5.701
Si B P
2 2 2
Direct
0.000 0.000 0.000
0.572 0.572 0.816
0.341 0.341 0.312
0.545 0.545 0.471
0.141 0.141 0.386
0.799 0.799 0.112



(16)
SiB2P, relaxed, DFT PBE; SG = P1; total DFT energy (no corrections) = -5.959 eV/atom; excess energy over the best structure of this formula in the dataset = 115 meV/atom; total magnetization = 0.00 μB per atom
1.0
3.222 0.000 0.000
1.600 3.700 0.000
1.594 0.031 4.249
Si B P
1 2 1
Direct
0.000 0.000 0.000
0.657 0.670 0.013
0.961 0.408 0.671
0.592 0.398 0.416



(17)
SiBP3, relaxed, DFT PBE; SG = Pm-3m; total DFT energy (no corrections) = -4.772 eV/atom; excess energy over the best structure of this formula in the dataset = 0 meV/atom; total magnetization = 0.00 μB per atom
1.0
4.108 0.000 0.000
0.000 4.108 0.000
0.000 0.000 4.108
Si B P
1 1 3
Direct
0.000 0.000 0.000
0.500 0.500 0.500
0.000 0.500 0.500
0.500 0.000 0.500
0.500 0.500 0.000



(18)
Zr2SiBP, relaxed, DFT PBE; SG = P4/mmm; total DFT energy (no corrections) = -5.908 eV/atom; total magnetization = 0.00 μB per atom
1.0
4.936 0.000 0.000
0.000 4.936 0.000
0.000 0.000 4.245
Zr Si B P
2 1 1 1
Direct
0.000 0.500 0.000
0.500 0.000 0.000
0.000 0.000 0.000
0.500 0.500 0.500
0.000 0.000 0.500



(19)
SmBP, relaxed, DFT PBE; SG = C2/m; total DFT energy (no corrections) = -6.128 eV/atom; formation enthalpy at 0 K = -0.53 eV/atom; excess energy over the best structure of this formula in the dataset = 0 meV/atom; total magnetization = 0.00 μB per atom
1.0
5.029 -1.717 0.000
5.029 1.717 0.000
-3.061 0.000 6.377
Sm B P
2 2 2
Direct
0.206 0.206 0.241
0.794 0.794 0.759
0.488 0.488 0.614
0.512 0.512 0.386
0.073 0.073 0.779
0.927 0.927 0.221



(20)
SmBP, relaxed, DFT PBE; SG = Cmcm; total DFT energy (no corrections) = -5.647 eV/atom; formation enthalpy at 0 K = -0.05 eV/atom; excess energy over the best structure of this formula in the dataset = 481 meV/atom; total magnetization = 0.00 μB per atom
1.0
1.832 -10.863 0.000
1.832 10.863 0.000
0.000 0.000 3.217
Sm B P
2 2 2
Direct
0.085 0.915 0.750
0.915 0.085 0.250
0.357 0.643 0.750
0.643 0.357 0.250
0.310 0.690 0.250
0.690 0.310 0.750